First-principles (PBE with a Hubbard U) data for a relaxed structure of CsFeGeO4, as listed in Alexandria via LeMat-Bulk. Values from VASP.

Geometry as Quantum ESPRESSO input:
```
&SYSTEM
  ibrav = 0, nat = 14, ntyp = 4
/
ATOMIC_SPECIES
Cs 132.91 Cs.upf
Fe 55.84 Fe.upf
Ge 72.64 Ge.upf
O 16.00 O.upf
CELL_PARAMETERS angstrom
5.4130 0.0000 0.0000
0.0000 5.6480 0.0000
-0.0359 0.0000 7.8585
ATOMIC_POSITIONS angstrom
Cs 1.3034 1.4120 0.8566
Cs 4.0737 4.2360 7.0019
Fe 0.9114 4.2360 3.7057
Fe 4.4657 1.4120 4.1528
Ge 1.8139 1.4120 4.9792
Ge 3.5632 4.2360 2.8794
O 0.5485 0.1202 5.0693
O 0.5485 2.7038 5.0693
O 2.0947 4.2360 1.8969
O 2.6143 1.4120 3.4010
O 2.7628 4.2360 4.4576
O 3.2824 1.4120 5.9617
O 4.8285 2.9442 2.7892
O 4.8285 5.5277 2.7892
```

Size of the total moment = 10.0 Bohr magnetons per cell
E_tot = -41.8 eV/f.u.